Record 1
Material: BaBAsW2
Method: DFT, GGA-PBE
State: relaxed

Output
Its spin magnetization is 0.71 μB/cell. The formation energy comes out at 1773 meV per atom.

Cell lengths 4.7626, 5.1111, 4.7626 Å; angles 90.00, 90.00, 90.00 degrees
Last column: nearest neighbours and their distance in Å.
Sites, in units of the cell vectors:
Ba 0.5000 0.5000 0.5000  4 B 3.37, 8 W 3.49
W 0.5000 0.0000 0.0000  2 As 2.38
W 0.0000 0.0000 0.5000  2 As 2.38
B 0.0000 0.5000 0.0000  2 As 2.56
As 0.0000 0.0000 0.0000  4 W 2.38, 2 B 2.56

Record 2
Material: Ti3ZnO
Method: DFT, GGA-PBE
State: relaxed

Output
The uncorrected formation energy is -1.1265 eV per atom. Its spin magnetization is 0.00 μB/cell.

Cell lengths 4.2954, 5.2237, 7.3001 Å; angles 111.23, 90.00, 114.28 degrees
Last column: nearest neighbours and their distance in Å.
Sites, in units of the cell vectors:
Ti 0.8861 0.7723 0.7916  2 O 2.08-2.09
Ti 0.1439 0.2879 0.6558  1 O 2.06
Ti 0.6373 0.2747 0.9357  3 O 2.09-2.15
Ti 0.3627 0.7253 0.0643  3 O 2.09-2.15
Ti 0.1139 0.2277 0.2084  2 O 2.08-2.09
Ti 0.8561 0.7121 0.3442  1 O 2.06
O 0.8765 0.7529 0.0731  6 Ti 2.06-2.15
O 0.1235 0.2471 0.9269  6 Ti 2.06-2.15
Zn 0.6015 0.2029 0.4296  1 Zn 2.52, 6 Ti 2.64-2.73
Zn 0.3985 0.7971 0.5704  1 Zn 2.52, 6 Ti 2.64-2.73